Entry from the Alexandria database: an optimized crystal structure of LiThSi2Pt5 (PBE-GGA).

Values from the calculation:
size of the total moment = 0.00 μB per atom
electronic total energy = -58.39 eV per cell
crystal system = tetragonal

abc: 4.176 4.176 9.126
angles: 90.00 90.00 90.00
Space group P4/mmm (No. 123)
Unique sites:
Li 0.000 0.000 0.000
Th 0.000 0.000 0.500
Si 0.500 0.500 0.126
Pt 0.000 0.500 0.258
Pt 0.500 0.500 0.500



Entry from the Alexandria database: an optimized crystal structure of LiTh2Si3Pt12 (PBE-GGA).

Values from the calculation:
size of the total moment = 0.00 μB per atom
electronic total energy = -349.41 eV per cell
crystal system = trigonal

abc: 8.2649 8.2649 17.6901
angles: 90.00 90.00 120.00
Space group R-3m (No. 166, hexagonal axes)
Unique sites:
Li 0.0000 0.0000 0.0000
Th 0.0000 0.0000 0.3811
Si 0.0000 0.5000 0.5000
Pt 0.0015 0.5008 0.6313
Pt 0.0236 0.5118 0.8687



Entry from the Alexandria database: an optimized crystal structure of LiTiSiPt (PBE-GGA).

Values from the calculation:
size of the total moment = 0.25 μB per atom
electronic total energy = -94.93 eV per cell
crystal system = cubic

abc: 6.081 6.081 6.081
angles: 90.00 90.00 90.00
Space group F-43m (No. 216)
Unique sites:
Li 0.000 0.000 0.000
Ti 0.250 0.250 0.250
Si 0.250 0.250 0.750
Pt 0.000 0.000 0.500



Entry from the Alexandria database: an optimized crystal structure of LiTlSiPt2 (PBE-GGA).

Values from the calculation:
size of the total moment = 0.00 μB per atom
electronic total energy = -16.80 eV per cell
crystal system = tetragonal

abc: 5.165 5.165 4.963
angles: 90.00 90.00 90.00
Space group P4/mmm (No. 123)
Unique sites:
Li 0.000 0.000 0.000
Tl 0.500 0.500 0.500
Si 0.500 0.500 0.000
Pt 0.000 0.500 0.500



Entry from the Alexandria database: an optimized crystal structure of LiTm2Si3Pt4 (PBE-GGA).

Values from the calculation:
size of the total moment = 0.00 μB per atom
electronic total energy = -61.74 eV per cell
crystal system = tetragonal

abc: 4.132 4.132 9.987
angles: 90.00 90.00 90.00
Space group P-4m2 (No. 115)
Unique sites:
Li 0.000 0.000 0.000
Tm 0.000 0.500 0.754
Si 0.000 0.500 0.364
Si 0.500 0.500 0.000
Pt 0.000 0.000 0.500
Pt 0.000 0.500 0.132
Pt 0.500 0.500 0.500



Entry from the Alexandria database: an optimized crystal structure of LiTm2Si4Pt3 (PBE-GGA).

Values from the calculation:
size of the total moment = 0.00 μB per atom
electronic total energy = -60.28 eV per cell
crystal system = tetragonal

abc: 4.071 4.071 10.238
angles: 90.00 90.00 90.00
Space group P-4m2 (No. 115)
Unique sites:
Li 0.000 0.000 0.000
Tm 0.000 0.500 0.756
Si 0.000 0.000 0.500
Si 0.000 0.500 0.137
Si 0.500 0.500 0.500
Pt 0.000 0.500 0.372
Pt 0.500 0.500 0.000